4
Lattice="3.234 0.000 0.000 0.000 1.503 6.638 0.000 -1.503 6.638" Properties=species:S:1:pos:R:3 comment="PBE+U ScCoCuF, relaxed" dos_ef_per_ev_fu=0.900 m_tot_mub_per_cell=2.0 e_tot_ev_per_cell=-20.741 space_group="Amm2 (38)" pbc="T T T"
Sc 0.000 0.000 0.000
Co 1.617 0.000 4.906
Cu 0.000 0.000 10.364
F 0.000 0.000 8.110